Record 1
Here is a relaxed K2Sm2CrO6 crystal from the Alexandria database. Energies are from PBE+U.

Volume (Å³ per atom): 17.095
Magnetization (Bohr magnetons per cell): 1.9

Cell lengths 5.8109, 5.8109, 6.5986 Å; angles 97.66, 97.66, 119.00 degrees
With the nearest neighbours (Å) after each atom.
Positions (direct):
K 0.8429 0.1571 0.0000  4 O 2.72-2.74
K 0.1571 0.8429 0.0000  4 O 2.72-2.74
Sm 0.3360 0.6640 0.5000  6 O 2.33-2.37
Sm 0.6640 0.3360 0.5000  6 O 2.33-2.37
Cr 0.0000 0.0000 0.5000  6 O 1.99-2.06
O 0.7587 0.7587 0.6753  1 Cr 2.06
O 0.0456 0.3371 0.6679  1 Cr 1.99
O 0.2413 0.2413 0.3247  1 Cr 2.06
O 0.3371 0.0456 0.6679  1 Cr 1.99
O 0.9544 0.6629 0.3322  1 Cr 1.99
O 0.6629 0.9544 0.3322  1 Cr 1.99



Record 2
Here is a relaxed K3Sm3CrO8 crystal from the Alexandria database. Energies are from PBE+U.

Volume (Å³ per atom): 17.231
Magnetization (Bohr magnetons per cell): 2.0

Cell lengths 6.8480, 6.9009, 7.4350 Å; angles 117.46, 90.00, 119.75 degrees
With the nearest neighbours (Å) after each atom.
Positions (direct):
K 0.0000 0.0000 0.0000  6 O 2.79-2.82
K 0.0000 0.5000 0.0000  6 O 2.77-2.81
K 0.5000 0.5000 0.0000  6 O 2.77-2.81
Sm 0.5000 0.0000 0.5000  6 O 2.32-2.38
Sm 0.5000 0.5000 0.5000  6 O 2.32-2.41
Sm 0.0000 0.5000 0.5000  6 O 2.32-2.41
Cr 0.0000 0.0000 0.5000  6 O 2.01-2.11
O 0.2716 0.5432 0.3104  3 Sm 2.32
O 0.7284 0.4568 0.6896  3 Sm 2.32
O 0.7920 0.5840 0.3256  1 Cr 2.11, 2 Sm 2.36
O 0.2080 0.4160 0.6744  1 Cr 2.11, 2 Sm 2.36
O 0.8004 0.0308 0.3310  1 Cr 2.01
O 0.1996 0.9692 0.6690  1 Cr 2.01
O 0.2304 0.0308 0.3310  1 Cr 2.01
O 0.7696 0.9692 0.6690  1 Cr 2.01



Record 3
Here is a relaxed KCr2SnO8 crystal from the Alexandria database. Energies are from PBE+U.

Volume (Å³ per atom): 16.243
Magnetization (Bohr magnetons per cell): 1.0

Cell lengths 5.3320, 5.3320, 7.9166 Å; angles 90.00, 90.00, 120.00 degrees
With the nearest neighbours (Å) after each atom.
Positions (direct):
K 0.0000 0.0000 0.0000  12 O 3.12-3.16
Cr 0.6667 0.3333 0.2710  4 O 1.63-1.71
Cr 0.3333 0.6667 0.7290  4 O 1.63-1.71
Sn 0.0000 0.0000 0.5000  6 O 2.09
O 0.3333 0.6667 0.9344  1 Cr 1.63
O 0.3371 0.2755 0.3401  1 Cr 1.71
O 0.7245 0.0616 0.3401  1 Cr 1.71
O 0.6667 0.3333 0.0656  1 Cr 1.63
O 0.2755 0.9384 0.6599  1 Cr 1.71
O 0.6629 0.7245 0.6599  1 Cr 1.71
O 0.0616 0.3371 0.6599  1 Cr 1.71
O 0.9384 0.6629 0.3401  1 Cr 1.71



| no. | DFT total energy (eV per atom) |
| --- | --- |
| 1 | -6.765 |
| 2 | -6.720 |
| 3 | -6.367 |